Nd7Cd2Ag2: relaxed, PBE.

## Properties
formation energy: 35 meV/atom
E: -3.68 eV/atom
Fermi-level density of states: 1.345 states/eV/atom
space group: Cmmm

```
Nd7Cd2Ag2
1.0
3.988 -5.668 0.000
3.988 5.668 0.000
0.000 0.000 7.886
Nd Cd Ag
7 2 2
direct
0.000 0.000 0.000 Nd
0.000 0.500 0.280 Nd
0.000 0.500 0.720 Nd
0.500 0.000 0.280 Nd
0.500 0.000 0.720 Nd
0.500 0.500 0.259 Nd
0.500 0.500 0.741 Nd
0.173 0.173 0.500 Cd
0.827 0.827 0.500 Cd
0.289 0.711 0.000 Ag
0.711 0.289 0.000 Ag
```

=====

NdCd7Ag5: relaxed, PBE.

## Properties
formation energy: -135 meV/atom
E: -2.09 eV/atom
Fermi-level density of states: 0.540 states/eV/atom
space group: Imm2

```
NdCd7Ag5
1.0
-2.820 4.988 4.928
2.820 -4.988 4.928
2.820 4.988 -4.928
Nd Cd Ag
1 7 5
direct
0.000 0.000 0.000 Nd
0.209 0.505 0.704 Cd
0.223 0.723 0.500 Cd
0.349 0.349 0.000 Cd
0.356 0.009 0.346 Cd
0.658 0.658 0.000 Cd
0.663 0.009 0.654 Cd
0.800 0.505 0.296 Cd
0.005 0.006 0.498 Ag
0.005 0.507 0.999 Ag
0.508 0.006 0.001 Ag
0.508 0.507 0.501 Ag
0.789 0.289 0.500 Ag
```

=====

no.,V (Å³/cell)
1,356
2,277